# 1
## NbAs3P (PBE-GGA)

Data for an optimized crystal structure of NbAs3P.

Output
Energy relative to the elements   0.74 eV per atom
Density of states at the Fermi level   0.569 states/eV/atom
Energy above the most stable polymorph in this dataset   0 meV/atom
Energy   -5.148 eV/atom

a b c (Å): 4.9949 4.9949 4.9949
angles (deg): 90.00 90.00 90.00
With the nearest neighbours (Å) after each atom.
Space group Pm-3m (No. 221)
Symmetry-distinct sites (fractional):
Nb 0.0000 0.0000 0.0000 (multiplicity 1)  6 As 2.50
As 0.0000 0.0000 0.5000 (multiplicity 3)  2 Nb 2.50
P 0.5000 0.5000 0.5000 (multiplicity 1)  12 As 3.53

# 2
## NbAs2P (PBE-GGA)

Data for an optimized crystal structure of NbAs2P.

Output
Energy relative to the elements   0.34 eV per atom
Density of states at the Fermi level   0.785 states/eV/atom
Energy   -5.852 eV/atom

a b c (Å): 5.8787 5.8787 11.0382
angles (deg): 90.00 90.00 90.00
With the nearest neighbours (Å) after each atom.
Space group I-42d (No. 122)
Symmetry-distinct sites (fractional):
Nb 0.0000 0.0000 0.0000 (multiplicity 4)  4 As 2.55
As 0.2356 0.2500 0.6250 (multiplicity 8)  2 P 2.45, 2 Nb 2.55
P 0.0000 0.0000 0.5000 (multiplicity 4)  4 As 2.45

# 3
## Nb2AsP2 (PBE-GGA)

Data for an optimized crystal structure of Nb2AsP2.

Output
Energy relative to the elements   -0.56 eV per atom
Density of states at the Fermi level   0.742 states/eV/atom
Energy   -7.682 eV/atom

a b c (Å): 7.1097 7.1097 3.2459
angles (deg): 90.00 90.00 90.00
With the nearest neighbours (Å) after each atom.
Space group P4/mbm (No. 127)
Symmetry-distinct sites (fractional):
Nb 0.1529 0.3471 0.0000 (multiplicity 4)  6 P 2.61-2.69, 2 As 2.70
As 0.0000 0.0000 0.0000 (multiplicity 2)  4 Nb 2.70
P 0.1341 0.6341 0.5000 (multiplicity 4)  6 Nb 2.61-2.69, 1 P 2.70

# 4
## NbAsP3 (PBE-GGA)

Data for an optimized crystal structure of NbAsP3.

Output
Energy relative to the elements   1.08 eV per atom
Density of states at the Fermi level   1.237 states/eV/atom
Energy above the most stable polymorph in this dataset   390 meV/atom
Energy   -5.112 eV/atom

a b c (Å): 4.5727 4.5727 4.5727
angles (deg): 90.00 90.00 90.00
With the nearest neighbours (Å) after each atom.
Space group Pm-3m (No. 221)
Symmetry-distinct sites (fractional):
Nb 0.0000 0.0000 0.0000 (multiplicity 1)  12 P 3.23
As 0.5000 0.5000 0.5000 (multiplicity 1)  6 P 2.29
P 0.0000 0.5000 0.5000 (multiplicity 3)  2 As 2.29